VASP calculation (PBE) on a relaxed structure of PmClO.

POSCAR file:
```
PmClO
1.0
-0.110 0.209 -3.992
-0.137 -5.621 3.711
-6.294 2.366 0.299
Cl Pm O
2 2 2
Direct
0.593 0.344 0.744 Cl
0.534 0.785 0.552 Cl
0.173 0.924 0.925 Pm
0.953 0.204 0.371 Pm
0.492 0.244 0.233 O
0.634 0.885 0.063 O
```

Properties
As for the space group: P2_1/m, No. 11. Its volume is 23.13 A^3/atom. The value obtained for the calculated total energy is -20.256 eV/f.u. Its formation energy (no corrections) is -8.7 eV/f.u.